Density functional theory data (GGA-PBEsol) for a geometry-optimized Cr2TcMo structure.

Results
As for the symmetry: Fm-3m. As for the distance to the lowest polymorph of the same formula: 0.006 eV/atom. For the density of states at the Fermi level, the calculation gives 1.08 states/eV per atom. As for the calculated formation energy: 0.08 eV per atom.

abc: 4.1832 4.1832 4.1832
angles: 60.00 60.00 60.00
Closest atoms and distances in Å follow each position.
Sites, in units of the cell vectors:
Cr 0.2500 0.2500 0.2500  4 Tc 2.56, 4 Mo 2.56
Cr 0.7500 0.7500 0.7500  4 Tc 2.56, 4 Mo 2.56
Mo 0.0000 0.0000 0.0000  8 Cr 2.56
Tc 0.5000 0.5000 0.5000  8 Cr 2.56